1.
Below is a geometry-optimized NdYGaGe structure, with properties calculated at the PBE-GGA level.

Structure (POSCAR):
```
NdYGaGe
1.0
0.000 3.641 3.641
3.641 0.000 3.641
3.641 3.641 0.000
Nd Y Ga Ge
1 1 1 1
Direct
0.000 0.000 0.000
0.500 0.500 0.500
0.250 0.250 0.250
0.750 0.750 0.750
```

Total magnetization ... 0.0 Bohr magnetons per cell
Calculated volume ... 24.13 A^3/atom
Total DFT energy (no corrections) ... -21.18 eV for the cell shown


2.
Below is a geometry-optimized NaCu2W structure, with properties calculated at the PBE-GGA level.

Structure (POSCAR):
```
NaCu2W
1.0
-3.432 3.432 2.931
3.432 -3.432 2.931
3.432 3.432 -2.931
Na Cu W
2 4 2
Direct
0.000 0.000 0.000
0.750 0.250 0.500
0.144 0.625 0.019
0.375 0.394 0.519
0.606 0.125 0.981
0.875 0.856 0.481
0.250 0.750 0.500
0.500 0.500 0.000
```

Total magnetization ... 0.0 Bohr magnetons per cell
Calculated volume ... 17.26 A^3/atom
Total DFT energy (no corrections) ... -35.00 eV for the cell shown


Formation energy from the elements across the listed records, respectively: -2.31, 4.96 eV per formula unit.